Entry from the Open Quantum Materials Database: SbPbAu after structural relaxation (PBE).

Unit cell a=4.985 b=4.985 c=4.985 alpha=60.00 beta=60.00 gamma=60.00
Positions (direct):
Au: 0.250 0.250 0.250
Pb: 0.750 0.750 0.750
Sb: 0.000 0.000 0.000

Summary:
ΔE to the lowest computed polymorph	0.58	eV/f.u.
theoretical density	10.0	Mg/m³
space group	No. 216
calculated total energy	-10.80	eV for the cell shown

Entry from the Open Quantum Materials Database: SmSnNO after structural relaxation (PBE).

Unit cell a=4.250 b=4.250 c=7.644 alpha=90.00 beta=90.00 gamma=90.00
Positions (direct):
N: 0.750 0.750 0.362
N: 0.250 0.250 0.638
O: 0.750 0.250 0.000
O: 0.250 0.750 0.000
Sm: 0.250 0.250 0.127
Sm: 0.750 0.750 0.873
Sn: 0.750 0.250 0.500
Sn: 0.250 0.750 0.500

Summary:
ΔE to the lowest computed polymorph	2.20	eV/f.u.
theoretical density	7.2	Mg/m³
space group	No. 129
calculated total energy	-52.36	eV for the cell shown

Entry from the Open Quantum Materials Database: Lu6Fe2Sn after structural relaxation (PBE).

Unit cell a=8.208 b=8.208 c=8.208 alpha=111.00 beta=110.55 gamma=106.89
Each line ends with the local moment (μB).
Positions (direct):
Fe: 0.109 0.109 0.000  0.97
Fe: 0.891 0.891 0.000  0.97
Fe: 0.616 0.500 0.116  0.34
Fe: 0.384 0.500 0.884  0.34
Lu: 0.812 0.214 0.026  -0.09
Lu: 0.314 0.514 0.200  -0.03
Lu: 0.686 0.887 0.200  -0.04
Lu: 0.548 0.266 0.282  -0.04
Lu: 0.016 0.734 0.282  -0.04
Lu: 0.188 0.214 0.403  -0.08
Lu: 0.812 0.786 0.597  -0.08
Lu: 0.984 0.266 0.718  -0.04
Lu: 0.452 0.734 0.718  -0.04
Lu: 0.314 0.113 0.800  -0.04
Lu: 0.686 0.486 0.800  -0.03
Lu: 0.188 0.786 0.974  -0.09
Sn: 0.500 0.000 0.500  0.00
Sn: 0.000 0.500 0.500  -0.01

Summary:
theoretical density	10.0	Mg/m³
space group	No. 71
calculated total energy	-100.40	eV for the cell shown

Entry from the Open Quantum Materials Database: HfBeSO2 after structural relaxation (PBE).

Unit cell a=3.445 b=3.445 c=5.152 alpha=90.00 beta=90.00 gamma=90.00
Positions (direct):
Be: 0.000 0.000 0.001
Hf: 0.500 0.500 0.681
O: 0.500 0.000 0.904
O: 0.000 0.500 0.904
S: 0.000 0.000 0.416

Summary:
theoretical density	6.8	Mg/m³
space group	No. 99
calculated total energy	-39.72	eV for the cell shown